Density functional theory data (GGA+U) for crystalline Nd3CoO6 at its relaxed geometry.

Values from the calculation:
Electronic total energy in eV for the cell shown: -151.28
Energy above the most stable polymorph in this dataset in meV per atom: 136

Cell and atoms, written as CIF:
```
data_Nd3CoO6
_cell_length_a 5.615
_cell_length_b 5.748
_cell_length_c 10.185
_cell_angle_alpha 90.00
_cell_angle_beta 117.47
_cell_angle_gamma 90.00
_space_group_name_H-M_alt 'P 1 21/c 1'
_space_group_IT_number 14
loop_
_space_group_symop_operation_xyz
'x,y,z'
'-x,-y,-z'
'-x,y+1/2,-z+1/2'
'x,-y+1/2,z+1/2'
loop_
_atom_site_label
_atom_site_type_symbol
_atom_site_fract_x
_atom_site_fract_y
_atom_site_fract_z
Nd1 Nd 0.000 0.000 0.000
Nd2 Nd 0.292 0.051 0.759
Co1 Co 0.500 0.000 0.500
O1 O 0.104 0.073 0.247
O2 O 0.323 0.697 0.080
O3 O 0.386 0.235 0.070
```